{"formula": "Ba2FeF", "functional": "PBE+U", "state": "relaxed", "cell": [[-3.8981, 3.8981, 4.6921], [3.8981, -3.8981, 4.6921], [3.8981, 3.8981, -4.6921]], "species": ["Ba", "Ba", "Ba", "Ba", "Fe", "Fe", "F", "F"], "frac_coords": [[0.0508, 0.6250, 0.9258], [0.3750, 0.3008, 0.4258], [0.6992, 0.1250, 0.0742], [0.8750, 0.9492, 0.5742], [0.2500, 0.7500, 0.5000], [0.5000, 0.5000, 0.0000], [0.0000, 0.0000, 0.0000], [0.7500, 0.2500, 0.5000]], "e_above_lowest_polymorph_mev_per_atom": 0.0, "final_energy_ry_per_atom": -0.2703}